Record 1
Material: ScAlIn2
Method: DFT, GGA-PBE
State: optimized geometry

Calculated values
**ΔE_f**: -172 meV per atom

The structure in CIF format:
```
data_ScAlIn2
_chemical_formula_sum 'Sc1 Al1 In2'
_space_group_name_H-M_alt 'P 1 m 1'
_space_group_IT_number 6
_cell_length_a 3.1280
_cell_length_b 4.7182
_cell_length_c 6.0475
_cell_angle_alpha 90.00
_cell_angle_beta 90.09
_cell_angle_gamma 90.00
loop_
_space_group_symop_operation_xyz
'x,y,z'
'x,-y,z'
loop_
_atom_site_label
_atom_site_fract_x
_atom_site_fract_y
_atom_site_fract_z
Sc1 0.0000 0.0000 0.0000
Al1 0.4994 0.5000 0.2121
In1 0.4974 0.5000 0.7591
In2 0.5079 0.0000 0.4711
```

***

Record 2
Material: Th4InSn
Method: DFT, GGA-PBE
State: optimized geometry

Calculated values
**Energy above the most stable polymorph in this dataset**: 0 meV/atom
**ΔE_f**: -304 meV per atom

The structure in CIF format:
```
data_Th4InSn
_chemical_formula_sum 'Th8 In2 Sn2'
_space_group_name_H-M_alt 'P 4/m c c'
_space_group_IT_number 124
_space_group_name_Hall '-P 4 2c'
_cell_length_a 7.7304
_cell_length_b 7.7304
_cell_length_c 6.2146
_cell_angle_alpha 90.00
_cell_angle_beta 90.00
_cell_angle_gamma 90.00
loop_
_atom_site_label
_atom_site_fract_x
_atom_site_fract_y
_atom_site_fract_z
Th1 0.1531 0.3454 0.0000
In1 0.5000 0.5000 0.2500
Sn1 0.0000 0.0000 0.2500
```

***

Record 3
Material: MgTaCl3
Method: DFT, GGA-PBE
State: optimized geometry

Calculated values
**Energy relative to the elements, uncorrected**: -0.0358 eV/atom
**Energy above the most stable polymorph in this dataset**: 299 meV/atom

The structure in CIF format:
```
data_MgTaCl3
_chemical_formula_sum 'Mg1 Ta1 Cl3'
_space_group_name_H-M_alt 'P m -3 m'
_space_group_IT_number 221
_space_group_name_Hall '-P 4 2 3'
_cell_length_a 4.8886
_cell_length_b 4.8886
_cell_length_c 4.8886
_cell_angle_alpha 90.00
_cell_angle_beta 90.00
_cell_angle_gamma 90.00
loop_
_atom_site_label
_atom_site_fract_x
_atom_site_fract_y
_atom_site_fract_z
Mg1 0.0000 0.0000 0.0000
Ta1 0.5000 0.5000 0.5000
Cl1 0.0000 0.0000 0.5000
```

***

Record 4
Material: PRhPb2
Method: DFT, GGA-PBE
State: optimized geometry

Calculated values
**ΔE_f**: 392 meV per atom

The structure in CIF format:
```
data_PRhPb2
_chemical_formula_sum 'P2 Rh2 Pb4'
_space_group_name_H-M_alt 'I -4 m 2'
_space_group_IT_number 119
_space_group_name_Hall 'I -4 -2'
_cell_length_a 4.5718
_cell_length_b 4.5718
_cell_length_c 8.2665
_cell_angle_alpha 90.00
_cell_angle_beta 90.00
_cell_angle_gamma 90.00
loop_
_atom_site_label
_atom_site_fract_x
_atom_site_fract_y
_atom_site_fract_z
P1 0.0000 0.0000 0.0000
Rh1 0.0000 0.5000 0.2500
Pb1 0.0000 0.0000 0.5000
Pb2 0.0000 0.5000 0.7500
```

***

Record 5
Material: LaNdDy5
Method: DFT, GGA-PBE
State: optimized geometry

Calculated values
**Energy above the most stable polymorph in this dataset**: 885 meV/atom
**ΔE_f**: 1078 meV per atom

The structure in CIF format:
```
data_LaNdDy5
_chemical_formula_sum 'La2 Nd2 Dy10'
_space_group_name_H-M_alt 'I m m m'
_space_group_IT_number 71
_space_group_name_Hall '-I 2 2'
_cell_length_a 5.7788
_cell_length_b 8.6739
_cell_length_c 11.8438
_cell_angle_alpha 90.00
_cell_angle_beta 90.00
_cell_angle_gamma 90.00
loop_
_atom_site_label
_atom_site_fract_x
_atom_site_fract_y
_atom_site_fract_z
La1 0.0000 0.0000 0.0000
Nd1 0.0000 0.0000 0.5000
Dy1 0.0000 0.0000 0.2521
Dy2 0.0000 0.3206 0.5000
Dy3 0.0000 0.5000 0.0000
```

***

Record 6
Material: PmTh2Pt
Method: DFT, GGA-PBE
State: optimized geometry

Calculated values
**Energy above the most stable polymorph in this dataset**: 0 meV/atom
**ΔE_f**: -600 meV per atom

The structure in CIF format:
```
data_PmTh2Pt
_chemical_formula_sum 'Pm4 Th8 Pt4'
_space_group_name_H-M_alt 'C m c m'
_space_group_IT_number 63
_space_group_name_Hall '-C 2c 2'
_cell_length_a 3.8136
_cell_length_b 11.9347
_cell_length_c 10.2209
_cell_angle_alpha 90.00
_cell_angle_beta 90.00
_cell_angle_gamma 90.00
loop_
_atom_site_label
_atom_site_fract_x
_atom_site_fract_y
_atom_site_fract_z
Pm1 0.0000 0.0823 0.2500
Th1 0.0000 0.3635 0.0522
Pt1 0.0000 0.2120 0.7500
```

***

no.,calculated total energy (Ry/atom)
1,-0.298
2,-0.469
3,-0.282
4,-0.342
5,-0.264
6,-0.515